No. 1
The following is a meta-GGA SCAN calculation of a PBEsol-optimized structure of Cr2TcAu, from Alexandria.

Lattice parameters (Å, degrees): 2.8130 4.4306 4.8101 110.31 107.00 90.00
Sites, in units of the cell vectors:
Cr1 0.7228 0.2641 0.4456
Tc1 0.4832 0.4505 0.9665
Au1 0.2651 0.7956 0.5301
Cr2 0.0289 0.9898 0.0578

Output
Space-group type: Cm
Uncorrected energy in Ry per atom: -2.5716



No. 2
The following is a meta-GGA SCAN calculation of a PBEsol-optimized structure of CrTc3Au, from Alexandria.

Lattice parameters (Å, degrees): 4.3335 4.3335 4.3335 90.00 90.00 90.00
Sites, in units of the cell vectors:
Cr1 0.0000 0.0000 0.0000
Tc1 0.5000 0.0000 0.0000
Tc2 0.0000 0.0000 0.5000
Tc3 0.0000 0.5000 0.0000
Au1 0.5000 0.5000 0.5000

Output
Space-group type: Pm-3m
Uncorrected energy in Ry per atom: -2.7410



No. 3
The following is a meta-GGA SCAN calculation of a PBEsol-optimized structure of CrTcAu2, from Alexandria.

Lattice parameters (Å, degrees): 2.8528 4.6459 4.8873 100.35 106.97 90.00
Site moments in Bohr magnetons follow the coordinates.
Sites, in units of the cell vectors:
Au1 0.7512 0.7509 0.5023  -0.02
Tc1 0.5000 0.0000 0.0000  -1.57
Cr1 0.0000 0.5000 0.0000  3.31
Au2 0.2488 0.2491 0.4977  -0.02

Output
Space-group type: C2/m
Uncorrected energy in Ry per atom: -3.5075



No. 4
The following is a meta-GGA SCAN calculation of a PBEsol-optimized structure of CrTc2Au, from Alexandria.

Lattice parameters (Å, degrees): 2.6899 2.6899 7.7789 90.00 90.00 90.00
Sites, in units of the cell vectors:
Tc1 0.5000 0.5000 0.2302
Cr1 0.5000 0.5000 0.7667
Tc2 0.0000 0.0000 0.9934
Au1 0.0000 0.0000 0.5098

Output
Space-group type: P4mm
Uncorrected energy in Ry per atom: -2.8795



No. 5
The following is a meta-GGA SCAN calculation of a PBEsol-optimized structure of CrTcAu2, from Alexandria.

Lattice parameters (Å, degrees): 2.6688 2.6688 8.2559 90.00 90.00 90.00
Site moments in Bohr magnetons follow the coordinates.
Sites, in units of the cell vectors:
Tc1 0.5000 0.5000 0.5000  0.47
Cr1 0.5000 0.5000 0.0000  -3.46
Au1 0.0000 0.0000 0.7604  -0.07
Au2 0.0000 0.0000 0.2396  -0.07

Output
Space-group type: P4/mmm
Uncorrected energy in Ry per atom: -3.5035



No. 6
The following is a meta-GGA SCAN calculation of a PBEsol-optimized structure of CrTc2Au, from Alexandria.

Lattice parameters (Å, degrees): 2.9301 4.3596 5.1630 114.97 106.48 90.00
Site moments in Bohr magnetons follow the coordinates.
Sites, in units of the cell vectors:
Tc1 0.7163 0.7163 0.4327  -0.36
Cr1 0.0000 0.5000 0.0000  1.57
Tc2 0.2837 0.2837 0.5673  -0.36
Au1 0.5000 0.0000 0.0000  0.03

Output
Space-group type: Immm
Uncorrected energy in Ry per atom: -2.8792



No. 7
The following is a meta-GGA SCAN calculation of a PBEsol-optimized structure of CrTe2Au, from Alexandria.

Lattice parameters (Å, degrees): 3.9656 3.9656 7.0030 73.55 73.55 60.00
Site moments in Bohr magnetons follow the coordinates.
Sites, in units of the cell vectors:
Au1 0.5000 0.5000 0.5000  -0.02
Te1 0.7433 0.7433 0.7701  -0.18
Cr1 0.0000 0.0000 0.0000  3.44
Te2 0.2567 0.2567 0.2299  -0.18

Output
Space-group type: R-3m
Raw formation energy in kJ/mol of atoms: -16.1



No. 8
The following is a meta-GGA SCAN calculation of a PBEsol-optimized structure of CrTeAu, from Alexandria.

Lattice parameters (Å, degrees): 4.5779 4.5779 4.5779 60.00 60.00 60.00
Site moments in Bohr magnetons follow the coordinates.
Sites, in units of the cell vectors:
Te1 0.5000 0.5000 0.5000  0.03
Au1 0.2500 0.2500 0.2500  0.10
Cr1 0.0000 0.0000 0.0000  4.11

Output
Space-group type: F-43m
Raw formation energy in kJ/mol of atoms: 0.0



No. 9
The following is a meta-GGA SCAN calculation of a PBEsol-optimized structure of CrTe2Au, from Alexandria.

Lattice parameters (Å, degrees): 4.4319 4.8883 4.4319 90.00 76.27 90.00
Site moments in Bohr magnetons follow the coordinates.
Sites, in units of the cell vectors:
Te1 0.6664 0.5000 0.6664  -0.18
Te2 0.0788 0.0000 0.0788  -0.11
Cr1 0.2669 0.5000 0.2669  3.67
Au1 0.4748 0.0000 0.4748  0.00

Output
Space-group type: Amm2
Raw formation energy in kJ/mol of atoms: -22.7



No. 10
The following is a meta-GGA SCAN calculation of a PBEsol-optimized structure of CrTe2Au, from Alexandria.

Lattice parameters (Å, degrees): 3.6436 4.7960 4.7960 92.53 90.00 90.00
Site moments in Bohr magnetons follow the coordinates.
Sites, in units of the cell vectors:
Te1 0.0000 0.5000 0.0000  -0.18
Cr1 0.5000 0.5000 0.5000  3.84
Au1 0.5000 0.0000 0.0000  -0.04
Te2 0.0000 0.0000 0.5000  -0.18

Output
Space-group type: Cmmm
Raw formation energy in kJ/mol of atoms: 13.8



No. 11
The following is a meta-GGA SCAN calculation of a PBEsol-optimized structure of CrTe2Au, from Alexandria.

Lattice parameters (Å, degrees): 3.9383 3.9383 8.2810 76.24 76.24 60.00
Site moments in Bohr magnetons follow the coordinates.
Sites, in units of the cell vectors:
Cr1 0.5000 0.5000 0.5000  3.10
Te1 0.1073 0.1073 0.6780  -0.12
Te2 0.8927 0.8927 0.3220  -0.12
Au1 0.0000 0.0000 0.0000  -0.02

Output
Space-group type: R-3m
Raw formation energy in kJ/mol of atoms: -29.6



No. 12
The following is a meta-GGA SCAN calculation of a PBEsol-optimized structure of TlCrAu, from Alexandria.

Lattice parameters (Å, degrees): 3.4664 3.6741 5.0887 111.16 109.91 90.00
Site moments in Bohr magnetons follow the coordinates.
Sites, in units of the cell vectors:
Au1 0.0083 0.0083 0.0167  0.07
Tl1 0.3341 0.3341 0.6681  0.01
Cr1 0.6576 0.6576 0.3152  3.92

Output
Space-group type: Imm2
Uncorrected energy in Ry per atom: -3.9106